Arrangement A

Here is ZnTeAs after structural relaxation from Alexandria via LeMat-Bulk. Energies are from PBE.

a b c (Å): 6.6279 6.6279 6.6279
angles (deg): 90.00 90.00 90.00
With the nearest neighbours (Å) after each atom.
Space group F-43m (No. 216)
Inequivalent atoms, fractional coordinates:
Zn (0.0000, 0.0000, 0.0000) x4  4 Te 2.87, 4 As 2.87
Te (0.2500, 0.2500, 0.2500) x4  4 Zn 2.87
As (0.2500, 0.2500, 0.7500) x4  4 Zn 2.87

Computed properties:
total magnetic moment	0.000	μB per atom
V	291.2	Å³/cell

---

Arrangement B

Here is ZnTeAs after structural relaxation from Alexandria via LeMat-Bulk. Energies are from PBE.

a b c (Å): 8.5154 3.5122 11.9467
angles (deg): 90.00 107.90 90.00
With the nearest neighbours (Å) after each atom.
Space group C2/m (No. 12)
Inequivalent atoms, fractional coordinates:
Zn (0.2107, 0.0000, 0.3101) x4  2 As 2.47, 1 Te 2.60
Te (0.0711, 0.0000, 0.8554) x4  1 Zn 2.60, 1 As 2.73
As (0.0769, 0.0000, 0.6285) x4  2 Zn 2.47, 1 Te 2.73

Computed properties:
total magnetic moment	0.000	μB per atom
V	340.0	Å³/cell

---

arrangement B ends up most stable, edging out the next structure by 0.218 eV/atom.

---

Arrangement A

Here is Zn3TeAs after structural relaxation from Alexandria via LeMat-Bulk. Energies are from PBE.

a b c (Å): 4.8924 4.8924 4.8924
angles (deg): 90.00 90.00 90.00
With the nearest neighbours (Å) after each atom.
Space group Pm-3m (No. 221)
Inequivalent atoms, fractional coordinates:
Zn (0.0000, 0.0000, 0.5000) x3  2 As 2.45
Te (0.5000, 0.5000, 0.5000) x1  12 Zn 3.46
As (0.0000, 0.0000, 0.0000) x1  6 Zn 2.45

Computed properties:
total magnetic moment	0.000	μB per atom
V	117.1	Å³/cell

---

Arrangement B

Here is Zn3TeAs after structural relaxation from Alexandria via LeMat-Bulk. Energies are from PBE.

a b c (Å): 5.1788 5.1788 5.1788
angles (deg): 90.00 90.00 90.00
With the nearest neighbours (Å) after each atom.
Space group Pm-3m (No. 221)
Inequivalent atoms, fractional coordinates:
Zn (0.0000, 0.0000, 0.5000) x3  2 Te 2.59
Te (0.0000, 0.0000, 0.0000) x1  6 Zn 2.59
As (0.5000, 0.5000, 0.5000) x1  12 Zn 3.66

Computed properties:
total magnetic moment	0.102	μB per atom
V	138.9	Å³/cell

---

arrangement A ends up most stable, edging out the next structure by 0.593 eV/atom.

---

Arrangement A

Here is ZnTeAs3 after structural relaxation from Alexandria via LeMat-Bulk. Energies are from PBE.

a b c (Å): 5.3438 5.3438 5.3438
angles (deg): 90.00 90.00 90.00
With the nearest neighbours (Å) after each atom.
Space group Pm-3m (No. 221)
Inequivalent atoms, fractional coordinates:
Zn (0.0000, 0.0000, 0.0000) x1  12 As 3.78
Te (0.5000, 0.5000, 0.5000) x1  6 As 2.67
As (0.0000, 0.5000, 0.5000) x3  2 Te 2.67

Computed properties:
total magnetic moment	0.000	μB per atom
V	152.6	Å³/cell

---

Arrangement B

Here is ZnTeAs3 after structural relaxation from Alexandria via LeMat-Bulk. Energies are from PBE.

a b c (Å): 4.8738 4.8738 4.8738
angles (deg): 90.00 90.00 90.00
With the nearest neighbours (Å) after each atom.
Space group Pm-3m (No. 221)
Inequivalent atoms, fractional coordinates:
Zn (0.0000, 0.0000, 0.0000) x1  6 As 2.44
Te (0.5000, 0.5000, 0.5000) x1  12 As 3.45
As (0.0000, 0.0000, 0.5000) x3  2 Zn 2.44

Computed properties:
total magnetic moment	0.000	μB per atom
V	115.8	Å³/cell

---

arrangement B ends up most stable, edging out the next structure by 0.437 eV/atom.

---

Arrangement A

Here is ZrTe3As after structural relaxation from Alexandria via LeMat-Bulk. Energies are from PBE.

a b c (Å): 5.3226 5.3226 5.3226
angles (deg): 90.00 90.00 90.00
With the nearest neighbours (Å) after each atom.
Space group Pm-3m (No. 221)
Inequivalent atoms, fractional coordinates:
Zr (0.0000, 0.0000, 0.0000) x1  12 Te 3.76
Te (0.0000, 0.5000, 0.5000) x3  2 As 2.66
As (0.5000, 0.5000, 0.5000) x1  6 Te 2.66

Computed properties:
total magnetic moment	0.228	μB per atom
V	150.8	Å³/cell

---

Arrangement B

Here is ZrTe3As after structural relaxation from Alexandria via LeMat-Bulk. Energies are from PBE.

a b c (Å): 5.5988 5.5988 5.5988
angles (deg): 90.00 90.00 90.00
With the nearest neighbours (Å) after each atom.
Space group Pm-3m (No. 221)
Inequivalent atoms, fractional coordinates:
Zr (0.0000, 0.0000, 0.0000) x1  6 Te 2.80
Te (0.0000, 0.0000, 0.5000) x3  2 Zr 2.80
As (0.5000, 0.5000, 0.5000) x1  12 Te 3.96

Computed properties:
total magnetic moment	0.340	μB per atom
V	175.5	Å³/cell

---

arrangement B ends up most stable, edging out the next structure by 0.226 eV/atom.

---

Arrangement A

Here is TmThAs2 after structural relaxation from Alexandria via LeMat-Bulk. Energies are from PBE.

a b c (Å): 4.1741 4.1741 20.2270
angles (deg): 90.00 90.00 120.00
With the nearest neighbours (Å) after each atom.
Space group R-3m (No. 166, hexagonal axes)
Inequivalent atoms, fractional coordinates:
Tm (0.0000, 0.0000, 0.0000) x3  6 As 2.89
Th (0.0000, 0.0000, 0.5000) x3  6 As 2.99
As (0.0000, 0.0000, 0.2541) x6  3 Tm 2.89, 3 Th 2.99

Computed properties:
total magnetic moment	0.000	μB per atom
V	305.2	Å³/cell

---

Arrangement B

Here is TmThAs2 after structural relaxation from Alexandria via LeMat-Bulk. Energies are from PBE.

a b c (Å): 4.1169 4.1169 21.3037
angles (deg): 90.00 90.00 120.00
With the nearest neighbours (Å) after each atom.
Space group R3m (No. 160, hexagonal axes)
Inequivalent atoms, fractional coordinates:
Tm (0.0000, 0.0000, 0.0000) x3  6 As 2.88-2.99
Th (0.0000, 0.0000, 0.1738) x3  6 As 2.97-3.03
As (0.0000, 0.0000, 0.5904) x3  3 Tm 2.88, 3 Th 2.97
As (0.0000, 0.0000, 0.7519) x3  3 Tm 2.99, 3 Th 3.03

Computed properties:
total magnetic moment	0.000	μB per atom
V	312.7	Å³/cell

---

arrangement A ends up most stable, edging out the next structure by 0.158 eV/atom.

---

Arrangement A

Here is Ti2TlAs2 after structural relaxation from Alexandria via LeMat-Bulk. Energies are from PBE.

a b c (Å): 7.6005 7.6005 3.3331
angles (deg): 90.00 90.00 90.00
With the nearest neighbours (Å) after each atom.
Space group P4/mbm (No. 127)
Inequivalent atoms, fractional coordinates:
Ti (0.1367, 0.3633, 0.0000) x4  6 As 2.69-2.92, 1 Ti 2.94
Tl (0.0000, 0.0000, 0.5000) x2  4 As 2.93
As (0.1407, 0.6407, 0.5000) x4  6 Ti 2.69-2.92, 2 Tl 2.93

Computed properties:
total magnetic moment	0.000	μB per atom
V	192.5	Å³/cell

---

Arrangement B

Here is Ti2TlAs2 after structural relaxation from Alexandria via LeMat-Bulk. Energies are from PBE.

a b c (Å): 7.3769 7.3769 3.4100
angles (deg): 90.00 90.00 90.00
With the nearest neighbours (Å) after each atom.
Space group P4/mbm (No. 127)
Inequivalent atoms, fractional coordinates:
Ti (0.1391, 0.3609, 0.0000) x4  6 As 2.72-2.80, 2 Tl 2.85, 1 Ti 2.90
Tl (0.0000, 0.0000, 0.0000) x2  4 Ti 2.85
As (0.1479, 0.6479, 0.5000) x4  6 Ti 2.72-2.80

Computed properties:
total magnetic moment	0.000	μB per atom
V	185.6	Å³/cell

---

arrangement B ends up most stable, edging out the next structure by 0.113 eV/atom.